Entry 1:
VASP calculation (GGA-PBE) on crystalline LiCa3Ac at its relaxed geometry.

The structure in POSCAR format:
```
LiCa3Ac
1.0
6.481 -4.461 0.000
6.481 4.461 0.000
-5.075 0.000 6.876
Li Ca Ac
2 6 2
direct
0.219 0.219 0.042
0.781 0.781 0.958
0.015 0.589 0.281
0.079 0.079 0.271
0.411 0.985 0.719
0.589 0.015 0.281
0.921 0.921 0.729
0.985 0.411 0.719
0.461 0.461 0.716
0.539 0.539 0.284
```

Values from the calculation:
Space group: C2/m
Energy (eV per cell): -22.48
Distance to the lowest polymorph of the same formula (eV/f.u.): 0.60

***

Entry 2:
VASP calculation (GGA-PBE) on crystalline LiCaAc2 at its relaxed geometry.

The structure in POSCAR format:
```
LiCaAc2
1.0
4.066 0.000 0.000
0.000 4.066 0.000
0.000 0.000 9.268
Li Ca Ac
1 1 2
direct
0.000 0.000 0.000
0.000 0.000 0.500
0.500 0.500 0.212
0.500 0.500 0.788
```

Values from the calculation:
Space group: P4/mmm
Energy (eV per cell): -11.81
Distance to the lowest polymorph of the same formula (eV/f.u.): 0.11

***

Entry 3:
VASP calculation (GGA-PBE) on crystalline Li17CaAc at its relaxed geometry.

The structure in POSCAR format:
```
Li17CaAc
1.0
5.058 2.920 4.941
-5.058 2.920 4.941
0.000 -5.841 4.941
Li Ca Ac
17 1 1
direct
0.008 0.496 0.496
0.056 0.056 0.056
0.151 0.151 0.649
0.151 0.649 0.151
0.153 0.442 0.857
0.153 0.857 0.442
0.250 0.250 0.250
0.300 0.800 0.800
0.442 0.153 0.857
0.442 0.857 0.153
0.496 0.008 0.496
0.496 0.496 0.008
0.649 0.151 0.151
0.800 0.300 0.800
0.800 0.800 0.300
0.857 0.153 0.442
0.857 0.442 0.153
0.498 0.498 0.498
0.806 0.806 0.806
```

Values from the calculation:
Space group: R3m
Energy (eV per cell): -37.91

***

Entry 4:
VASP calculation (GGA-PBE) on crystalline LiCaAc2 at its relaxed geometry.

The structure in POSCAR format:
```
LiCaAc2
1.0
8.564 0.000 0.000
0.000 8.564 0.000
0.000 0.000 8.564
Li Ca Ac
4 4 8
direct
0.000 0.000 0.000
0.000 0.500 0.500
0.500 0.000 0.500
0.500 0.500 0.000
0.000 0.000 0.500
0.000 0.500 0.000
0.500 0.000 0.000
0.500 0.500 0.500
0.250 0.250 0.250
0.250 0.250 0.750
0.250 0.750 0.250
0.250 0.750 0.750
0.750 0.250 0.250
0.750 0.250 0.750
0.750 0.750 0.250
0.750 0.750 0.750
```

Values from the calculation:
Space group: Fm-3m
Energy (eV per cell): -46.37
Distance to the lowest polymorph of the same formula (eV/f.u.): 0.33

***

Entry 5:
VASP calculation (GGA-PBE) on crystalline Li6Ca2Ac at its relaxed geometry.

The structure in POSCAR format:
```
Li6Ca2Ac
1.0
7.729 -4.441 0.000
7.729 4.441 0.000
-0.006 0.000 3.824
Li Ca Ac
6 2 1
direct
0.164 0.500 0.997
0.164 0.836 0.000
0.500 0.164 0.997
0.500 0.836 0.003
0.836 0.164 0.000
0.836 0.500 0.003
0.166 0.166 0.500
0.834 0.834 0.500
0.500 0.500 0.500
```

Values from the calculation:
Space group: C2/m
Energy (eV per cell): -18.89

***

Entry 6:
VASP calculation (GGA-PBE) on crystalline LiCaAc at its relaxed geometry.

The structure in POSCAR format:
```
LiCaAc
1.0
3.878 0.000 0.000
0.000 20.477 0.000
0.000 0.000 5.552
Li Ca Ac
4 4 4
direct
0.000 0.037 0.250
0.000 0.963 0.750
0.500 0.463 0.750
0.500 0.537 0.250
0.000 0.400 0.250
0.000 0.600 0.750
0.500 0.100 0.750
0.500 0.900 0.250
0.000 0.206 0.250
0.000 0.794 0.750
0.500 0.294 0.750
0.500 0.706 0.250
```

Values from the calculation:
Space group: Cmcm
Energy (eV per cell): -31.42
Distance to the lowest polymorph of the same formula (eV/f.u.): 0.00

***

Entry 7:
VASP calculation (GGA-PBE) on crystalline Li2Ca3Ac at its relaxed geometry.

The structure in POSCAR format:
```
Li2Ca3Ac
1.0
3.926 0.000 0.000
0.000 3.926 0.000
0.000 0.000 13.796
Li Ca Ac
2 3 1
direct
0.000 0.000 0.149
0.000 0.000 0.851
0.500 0.500 0.000
0.500 0.500 0.295
0.500 0.500 0.705
0.000 0.000 0.500
```

Values from the calculation:
Space group: P4/mmm
Energy (eV per cell): -13.73

***

Entry 8:
VASP calculation (GGA-PBE) on crystalline LiCaAc2 at its relaxed geometry.

The structure in POSCAR format:
```
LiCaAc2
1.0
8.105 0.000 0.000
0.000 8.103 0.000
-4.048 0.000 9.307
Li Ca Ac
4 4 8
direct
0.000 0.249 0.000
0.000 0.751 0.000
0.500 0.251 0.000
0.500 0.749 0.000
0.150 0.500 0.799
0.350 0.000 0.201
0.650 0.000 0.799
0.850 0.500 0.201
0.140 0.000 0.779
0.250 0.250 0.500
0.250 0.750 0.500
0.360 0.500 0.221
0.640 0.500 0.779
0.750 0.250 0.500
0.750 0.750 0.500
0.860 0.000 0.221
```

Values from the calculation:
Space group: C2/m
Energy (eV per cell): -47.68
Distance to the lowest polymorph of the same formula (eV/f.u.): 0.00

***

no.,density of states at the Fermi level (states/eV/cell),energy relative to the elements (eV/f.u.)
1,13.1,0.789
2,5.6,0.319
3,11.4,0.739
4,22.2,0.539
5,6.4,0.705
6,10.1,0.170
7,7.3,0.208
8,18.1,0.212